1.
This record from Alexandria via LeMat-Bulk describes a relaxed NaZn2P crystal. The functional is PBE-GGA.

```
NaZn2P
1.0
-4.472 3.249 5.598
-0.973 -7.064 3.323
-0.498 -1.491 5.996
P Zn Na
2 4 2
Cartesian
-3.847 -0.075 8.027
0.000 0.000 0.000
-0.893 -4.671 3.777
-5.225 -5.086 12.598
-2.329 -1.920 7.546
-3.440 1.064 5.911
-2.097 -5.232 6.890
-2.723 -1.908 4.460
```

Output
density of states at the Fermi level	0.185	states/eV/atom
V	21.158	A^3/atom
space group	I-42d (122)
formation energy	20	meV per atom
final energy	-0.0845	Ha/atom

---

2.
This record from Alexandria via LeMat-Bulk describes a relaxed DyY2ThN4 crystal. The functional is PBE-GGA.

```
DyY2ThN4
1.0
3.537 0.000 0.000
0.000 6.104 0.114
0.000 -2.128 5.722
Dy N Y Th
1 4 2 1
Cartesian
0.000 0.000 0.000
0.000 4.054 1.523
0.000 -0.078 4.313
1.769 2.980 4.385
1.769 0.996 1.451
0.000 1.988 2.918
1.769 -1.064 2.861
1.769 3.052 0.057
```

Output
energy relative to the elements, uncorrected	-1.67	eV/atom
density of states at the Fermi level	0.223	states/eV/atom
V	15.549	A^3/atom
space group	P2/m (10)
final energy	-0.3290	Ha/atom

---

3.
This record from Alexandria via LeMat-Bulk describes a relaxed La3CdCu crystal. The functional is PBE-GGA.

```
La3CdCu
1.0
-0.554 -2.903 4.752
5.537 0.224 0.782
-0.596 4.779 2.850
La Cd Cu
3 1 1
Cartesian
2.768 0.112 0.391
-0.277 -1.452 2.376
-0.298 2.389 1.425
2.194 1.050 4.192
0.000 0.000 0.000
```

Output
density of states at the Fermi level	1.697	states/eV/atom
V	35.050	A^3/atom
space group	Pm-3m (221)
formation energy	107	meV per atom
final energy	-0.1416	Ha/atom